BaFeO3: relaxed, PBE+U.

DFT total energy in eV/atom: -6.188
SG: R-3
M_tot in μB/cell: 8.00

Unit cell a=6.540 b=6.540 c=6.540 alpha=49.72 beta=49.72 gamma=49.72
Last column: magnetic moment on the atom in μB.
Sites, in units of the cell vectors:
Ba (0.378, 0.378, 0.378)  0.02
Ba (0.622, 0.622, 0.622)  0.02
O (0.437, 0.983, 0.871)  -0.01
O (0.983, 0.871, 0.437)  -0.03
O (0.129, 0.563, 0.017)  -0.07
O (0.017, 0.129, 0.563)  -0.03
O (0.563, 0.017, 0.129)  -0.01
O (0.871, 0.437, 0.983)  -0.07
Fe (0.163, 0.163, 0.163)  4.05
Fe (0.837, 0.837, 0.837)  4.05